(1)
Below is crystalline Ir2Ru at its relaxed geometry, with properties calculated at the PBE-GGA level.

- crystal system = tetragonal
- polymorph energy (0 for the lowest one) (meV per atom) = 5.9

a = 3.854 Å, b = 3.854 Å, c = 23.105 Å
α = 90.00°, β = 90.00°, γ = 90.00°
Space group I4_1/amd (No. 141, origin choice 2)
One atom of each set of equivalent atoms:
Ir  0.000  0.250  0.124 [8 per cell]
Ir  0.000  0.250  0.791 [8 per cell]
Ru  0.000  0.250  0.291 [8 per cell]

(2)
Below is crystalline Ir2Ru at its relaxed geometry, with properties calculated at the PBE-GGA level.

- crystal system = monoclinic
- polymorph energy (0 for the lowest one) (meV per atom) = 29.5

a = 9.960 Å, b = 2.754 Å, c = 6.469 Å
α = 90.00°, β = 104.20°, γ = 90.00°
Space group C2/m (No. 12)
One atom of each set of equivalent atoms:
Ir  0.029  0.000  0.309 [4 per cell]
Ir  0.140  0.500  0.030 [4 per cell]
Ru  0.195  0.500  0.637 [4 per cell]